# 1
TcHIrN | PBE | optimized geometry

a = 2.8470 Å, b = 2.8470 Å, c = 5.6222 Å
α = 90.00°, β = 90.00°, γ = 120.00°
With the nearest neighbours (Å) after each atom.
Atoms (fractional coordinates):
1 Tc 0.0000 0.0000 0.0000  3 N 2.05
2 H 0.0000 0.0000 0.5152  3 Ir 1.77
3 Ir 0.3333 0.6667 0.3986  3 H 1.77
4 N 0.3333 0.6667 0.7825  3 Tc 2.05, 1 Ir 2.16, 3 H 2.23

Properties
- Energy above the lowest structure with this stoichiometry: 0.176 eV per atom

=====

# 2
TcHIrN | PBE | optimized geometry

a = 2.7661 Å, b = 2.7662 Å, c = 7.0608 Å
α = 82.09°, β = 81.25°, γ = 60.00°
With the nearest neighbours (Å) after each atom.
Atoms (fractional coordinates):
1 Tc 0.0000 0.0000 0.0000  3 N 2.01
2 H 0.4261 0.4021 0.6747  1 N 1.04
3 Ir 0.2457 0.2687 0.3106  3 Tc 2.69, 6 Ir 2.77, 1 H 2.80
4 N 0.3832 0.3702 0.8237  1 H 1.04

Properties
- Energy above the lowest structure with this stoichiometry: 0.019 eV per atom

=====

# 3
TcHIrN | PBE | optimized geometry

a = 2.8565 Å, b = 2.7866 Å, c = 5.4828 Å
α = 90.00°, β = 103.57°, γ = 90.00°
With the nearest neighbours (Å) after each atom.
Atoms (fractional coordinates):
1 Tc 0.0000 0.0000 0.0000  2 N 2.07
2 H 0.2547 0.5000 0.6804  1 N 1.04
3 Ir 0.6422 0.5000 0.3200  1 N 2.11, 1 H 2.31
4 N 0.9090 0.5000 0.7124  1 H 1.04

Properties
- Energy above the lowest structure with this stoichiometry: 0.233 eV per atom

=====

# 4
TcHIrN | PBE | optimized geometry

a = 2.7228 Å, b = 2.7228 Å, c = 5.1808 Å
α = 90.00°, β = 90.00°, γ = 90.00°
With the nearest neighbours (Å) after each atom.
Atoms (fractional coordinates):
1 Tc 0.0000 0.0000 0.0000  4 N 2.19, 1 H 2.30
2 H 0.0000 0.0000 0.4442  4 Ir 1.95
3 Ir 0.5000 0.5000 0.3876  4 H 1.95, 1 N 2.14
4 N 0.5000 0.5000 0.8000  1 Ir 2.14, 4 Tc 2.19

Properties
- Energy above the lowest structure with this stoichiometry: 0.327 eV per atom

=====

# 5
TcHIrN | PBE | optimized geometry

a = 3.3891 Å, b = 3.3891 Å, c = 5.4165 Å
α = 113.69°, β = 113.69°, γ = 48.88°
With the nearest neighbours (Å) after each atom.
Atoms (fractional coordinates):
1 Tc 0.0000 0.0000 0.0000  3 N 1.91-2.03
2 H 0.1232 0.1232 0.5740  1 Ir 1.73
3 Ir 0.3921 0.3921 0.5468  1 H 1.73
4 N 0.3439 0.3439 0.1399  3 Tc 1.91-2.03, 1 Ir 2.09

Properties
- Energy above the lowest structure with this stoichiometry: 0.285 eV per atom

=====

# 6
TcHIrN | PBE | optimized geometry

a = 2.7593 Å, b = 2.7593 Å, c = 7.1560 Å
α = 101.83°, β = 101.83°, γ = 59.79°
With the nearest neighbours (Å) after each atom.
Atoms (fractional coordinates):
1 Tc 0.0000 0.0000 0.0000  3 N 2.01
2 H 0.7832 0.7832 0.3263  1 N 1.04
3 Ir 0.5543 0.5543 0.6862  3 Tc 2.70-2.71, 6 Ir 2.75-2.76, 2 H 2.94
4 N 0.7300 0.7300 0.1771  1 H 1.04

Properties
- Energy above the lowest structure with this stoichiometry: 0.000 eV per atom

=====

# 7
TcHIrN | PBE | optimized geometry

a = 2.7775 Å, b = 2.9201 Å, c = 5.0129 Å
α = 79.79°, β = 89.71°, γ = 89.63°
With the nearest neighbours (Å) after each atom.
Atoms (fractional coordinates):
1 Tc 0.0000 0.0000 0.0000  4 N 2.07-2.14
2 H 0.2384 0.3611 0.3551  2 Ir 1.73-1.76
3 Ir 0.4997 0.8283 0.4788  2 H 1.73-1.76
4 N 0.5078 0.5484 0.8791  1 Ir 2.03, 4 Tc 2.07-2.14

Properties
- Energy above the lowest structure with this stoichiometry: 0.314 eV per atom

=====

# 8
TeHIrN2 | PBE | optimized geometry

a = 3.7253 Å, b = 3.7253 Å, c = 5.8492 Å
α = 90.00°, β = 90.00°, γ = 90.00°
With the nearest neighbours (Å) after each atom.
Atoms (fractional coordinates):
1 Te 0.0000 0.0000 0.0000  4 H 2.63, 2 Ir 2.92
2 H 0.5000 0.5000 0.0000  4 Te 2.63
3 Ir 0.0000 0.0000 0.5000  4 N 1.86
4 N 0.0000 0.5000 0.5000  2 Ir 1.86
5 N 0.5000 0.0000 0.5000  2 Ir 1.86

Properties
- Energy above the lowest structure with this stoichiometry: 0.000 eV per atom

=====

# 9
TeHIrN2 | PBE | optimized geometry

a = 3.9486 Å, b = 3.9486 Å, c = 3.5480 Å
α = 90.00°, β = 90.00°, γ = 90.00°
With the nearest neighbours (Å) after each atom.
Atoms (fractional coordinates):
1 Te 0.0000 0.0000 0.0000  2 H 1.77
2 H 0.0000 0.0000 0.5000  2 Te 1.77, 4 N 1.97
3 Ir 0.5000 0.5000 0.0000  8 N 2.65, 4 Te 2.79
4 N 0.0000 0.5000 0.5000  2 H 1.97
5 N 0.5000 0.0000 0.5000  2 H 1.97

Properties
- Energy above the lowest structure with this stoichiometry: 1.020 eV per atom

=====

# 10
TlHIrN2 | PBE | optimized geometry

a = 4.3637 Å, b = 4.3637 Å, c = 3.2676 Å
α = 90.00°, β = 90.00°, γ = 90.00°
With the nearest neighbours (Å) after each atom.
Atoms (fractional coordinates):
1 Tl 0.0000 0.0000 0.0000  2 H 1.63
2 H 0.0000 0.0000 0.5000  2 Tl 1.63
3 Ir 0.5000 0.5000 0.5000  8 N 2.73
4 N 0.0000 0.5000 0.0000  2 Tl 2.18
5 N 0.5000 0.0000 0.0000  2 Tl 2.18

=====

# 11
VHIr2N | PBE | optimized geometry

a = 3.9924 Å, b = 3.9924 Å, c = 3.8934 Å
α = 90.00°, β = 90.00°, γ = 90.00°
With the nearest neighbours (Å) after each atom.
Atoms (fractional coordinates):
1 V 0.0000 0.0000 0.0000  2 N 1.95
2 H 0.5000 0.5000 0.0000  8 Ir 2.79, 4 V 2.82
3 Ir 0.0000 0.5000 0.5000  2 N 2.00
4 Ir 0.5000 0.0000 0.5000  2 N 2.00
5 N 0.0000 0.0000 0.5000  2 V 1.95, 4 Ir 2.00

=====

# 12
Na3HIr | PBE | optimized geometry

a = 5.5485 Å, b = 5.5485 Å, c = 5.5485 Å
α = 90.00°, β = 90.00°, γ = 90.00°
With the nearest neighbours (Å) after each atom.
Atoms (fractional coordinates):
1 Na 0.0000 0.0000 0.5000  2 Ir 2.77
2 Na 0.0000 0.5000 0.0000  2 Ir 2.77
3 Na 0.5000 0.0000 0.0000  2 Ir 2.77
4 H 0.5000 0.5000 0.5000  12 Na 3.92
5 Ir 0.0000 0.0000 0.0000  6 Na 2.77

Properties
- Energy above the lowest structure with this stoichiometry: 0.462 eV per atom

=====

Raw total energy? In order: -7.62, -7.78, -7.56, -7.47, -7.51, -7.80, -7.48, -5.35, -4.33, -4.02, -6.99, -2.29 eV/atom.
V? In order: 9.87, 11.53, 10.61, 9.60, 10.51, 11.44, 10.00, 16.24, 11.06, 12.44, 12.41, 34.16 Å³ per atom.